1.
First-principles (PBE) data for a relaxed LaZr2Se crystal, as listed in Alexandria.

Values from the calculation:
- Symmetry: No. 123
- Magnetic moment: 0.0 μB per cell
- Formation energy from raw total energies: -0.890 eV/f.u.
- DFT total energy: -26.40 eV for the cell shown

abc: 4.714 4.714 4.001
angles: 90.00 90.00 90.00
Fractional coordinates of all 4 atoms:
La 0.500 0.000 0.500
Se 0.000 0.500 0.500
Zr 0.000 0.000 0.000
Zr 0.500 0.500 0.000

=====

2.
First-principles (PBE) data for a relaxed La2ZrSe crystal, as listed in Alexandria.

Values from the calculation:
- Symmetry: No. 166
- Magnetic moment: 0.1 μB per cell
- Formation energy from raw total energies: -2.434 eV/f.u.
- DFT total energy: -24.32 eV for the cell shown

abc: 9.813 9.813 9.813
angles: 22.51 22.51 22.51
Fractional coordinates of all 4 atoms:
La 0.989 0.989 0.989
La 0.511 0.511 0.511
Se 0.250 0.250 0.250
Zr 0.750 0.750 0.750

=====

3.
First-principles (PBE) data for a relaxed La2ZrSe5 crystal, as listed in Alexandria.

Values from the calculation:
- Symmetry: No. 62
- Magnetic moment: 0.0 μB per cell
- Offset from the most stable computed form: 0.0 meV/atom
- Formation energy from raw total energies: -14.390 eV/f.u.
- DFT total energy: -200.86 eV for the cell shown

abc: 7.786 8.584 12.089
angles: 90.00 90.00 90.00
Fractional coordinates of all 32 atoms:
La 0.946 0.001 0.173
La 0.554 0.499 0.673
La 0.054 0.501 0.827
La 0.446 0.999 0.327
La 0.054 0.999 0.827
La 0.446 0.501 0.327
La 0.946 0.499 0.173
La 0.554 0.001 0.673
Zr 0.423 0.750 0.010
Zr 0.077 0.750 0.510
Zr 0.577 0.250 0.990
Zr 0.923 0.250 0.490
Se 0.824 0.963 0.424
Se 0.676 0.537 0.924
Se 0.176 0.463 0.576
Se 0.324 0.037 0.076
Se 0.176 0.037 0.576
Se 0.324 0.463 0.076
Se 0.824 0.537 0.424
Se 0.676 0.963 0.924
Se 0.646 0.750 0.190
Se 0.854 0.750 0.690
Se 0.354 0.250 0.810
Se 0.146 0.250 0.310
Se 0.445 0.750 0.505
Se 0.055 0.750 0.005
Se 0.555 0.250 0.495
Se 0.945 0.250 0.995
Se 0.164 0.750 0.291
Se 0.336 0.750 0.791
Se 0.836 0.250 0.709
Se 0.664 0.250 0.209

=====

4.
First-principles (PBE) data for a relaxed LaZr2Se crystal, as listed in Alexandria.

Values from the calculation:
- Symmetry: No. 166
- Magnetic moment: 0.0 μB per cell
- Formation energy from raw total energies: -1.776 eV/f.u.
- DFT total energy: -27.28 eV for the cell shown

abc: 9.411 9.411 9.411
angles: 21.75 21.75 21.75
Fractional coordinates of all 4 atoms:
La 0.250 0.250 0.250
Se 0.750 0.750 0.750
Zr 0.017 0.017 0.017
Zr 0.483 0.483 0.483

=====

5.
First-principles (PBE) data for a relaxed LaZr2Se crystal, as listed in Alexandria.

Values from the calculation:
- Symmetry: No. 10
- Magnetic moment: 0.0 μB per cell
- Formation energy from raw total energies: -1.444 eV/f.u.
- DFT total energy: -26.95 eV for the cell shown

abc: 5.330 3.778 4.852
angles: 87.38 90.00 90.00
Fractional coordinates of all 4 atoms:
La 0.500 0.250 0.250
Se 0.500 0.750 0.750
Zr 0.000 0.963 0.994
Zr 0.000 0.537 0.506

=====

6.
First-principles (PBE) data for a relaxed La2ZrSe crystal, as listed in Alexandria.

Values from the calculation:
- Symmetry: No. 6
- Magnetic moment: 0.0 μB per cell
- Formation energy from raw total energies: -2.628 eV/f.u.
- DFT total energy: -24.52 eV for the cell shown

abc: 4.708 4.157 6.088
angles: 70.13 90.00 90.00
Fractional coordinates of all 4 atoms:
La 0.000 0.982 0.912
La 0.500 0.269 0.336
Se 0.000 0.699 0.476
Zr 0.500 0.550 0.776

=====

7.
First-principles (PBE) data for a relaxed La2ZrSe crystal, as listed in Alexandria.

Values from the calculation:
- Symmetry: No. 8
- Magnetic moment: 0.0 μB per cell
- Formation energy from raw total energies: -2.506 eV/f.u.
- DFT total energy: -24.39 eV for the cell shown

abc: 6.227 6.227 5.393
angles: 73.83 73.83 33.17
Fractional coordinates of all 4 atoms:
La 0.985 0.985 0.049
La 0.778 0.778 0.675
Se 0.532 0.532 0.536
Zr 0.205 0.205 0.240

=====

8.
First-principles (PBE) data for a relaxed LaZr2Se crystal, as listed in Alexandria.

Values from the calculation:
- Symmetry: No. 216
- Magnetic moment: 0.0 μB per cell
- Formation energy from raw total energies: -0.319 eV/f.u.
- DFT total energy: -25.83 eV for the cell shown

abc: 5.147 5.147 5.147
angles: 60.00 60.00 60.00
Fractional coordinates of all 4 atoms:
La 0.500 0.500 0.500
Se 0.750 0.750 0.750
Zr 0.000 0.000 0.000
Zr 0.250 0.250 0.250

=====

9.
First-principles (PBE) data for a relaxed LaZr2Se4 crystal, as listed in Alexandria.

Values from the calculation:
- Symmetry: No. 63
- Magnetic moment: 0.0 μB per cell
- Formation energy from raw total energies: -10.235 eV/f.u.
- DFT total energy: -92.39 eV for the cell shown

abc: 3.929 6.615 13.761
angles: 90.00 90.00 107.28
Fractional coordinates of all 14 atoms:
La 0.608 0.215 0.750
La 0.392 0.785 0.250
Zr 0.144 0.288 0.442
Zr 0.856 0.712 0.942
Zr 0.144 0.288 0.058
Zr 0.856 0.712 0.558
Se 0.776 0.552 0.124
Se 0.776 0.552 0.376
Se 0.224 0.448 0.876
Se 0.224 0.448 0.624
Se 0.933 0.866 0.750
Se 0.067 0.134 0.250
Se 0.500 0.000 0.000
Se 0.500 0.000 0.500

=====

10.
First-principles (PBE) data for a relaxed LaZrSe3 crystal, as listed in Alexandria.

Values from the calculation:
- Symmetry: No. 221
- Magnetic moment: 1.0 μB per cell
- Offset from the most stable computed form: 1465.2 meV/atom
- Formation energy from raw total energies: -0.817 eV/f.u.
- DFT total energy: -24.75 eV for the cell shown

abc: 5.610 5.610 5.610
angles: 90.00 90.00 90.00
Fractional coordinates of all 5 atoms:
Se 0.000 0.500 0.000
Se 0.000 0.000 0.500
Se 0.500 0.000 0.000
Zr 0.500 0.500 0.500
La 0.000 0.000 0.000

=====

11.
First-principles (PBE) data for a relaxed LaZrSe3 crystal, as listed in Alexandria.

Values from the calculation:
- Symmetry: No. 63
- Magnetic moment: 0.0 μB per cell
- Offset from the most stable computed form: 1.2 meV/atom
- Formation energy from raw total energies: -8.137 eV/f.u.
- DFT total energy: -64.13 eV for the cell shown

abc: 5.244 7.489 7.333
angles: 90.00 110.96 90.00
Fractional coordinates of all 10 atoms:
La 0.809 0.750 0.618
La 0.191 0.250 0.382
Zr 0.511 0.750 0.022
Zr 0.489 0.250 0.978
Se 0.647 0.022 0.295
Se 0.353 0.522 0.705
Se 0.974 0.250 0.948
Se 0.026 0.750 0.052
Se 0.353 0.978 0.705
Se 0.647 0.478 0.295

=====

12.
First-principles (PBE) data for a relaxed LaZrSe crystal, as listed in Alexandria.

Values from the calculation:
- Symmetry: No. 187
- Magnetic moment: 0.0 μB per cell
- Offset from the most stable computed form: 267.0 meV/atom
- Formation energy from raw total energies: -1.740 eV/f.u.
- DFT total energy: -18.70 eV for the cell shown

abc: 4.687 4.687 4.125
angles: 90.00 90.00 120.00
Fractional coordinates of all 3 atoms:
La 0.000 0.000 0.000
Se 0.667 0.333 0.500
Zr 0.333 0.667 0.500